First-principles (PBE-GGA) data for a geometry-optimized CdFeI4 structure, as listed in the Alexandria database.

Unit cell a=6.5733 b=6.5733 c=12.0046 alpha=90.00 beta=90.00 gamma=90.00
With the nearest neighbours (Å) after each atom.
Positions (direct):
I 0.7281 0.2417 0.6297  1 Fe 2.62, 1 Cd 2.85
I 0.2417 0.2719 0.3703  1 Fe 2.62, 1 Cd 2.85
I 0.2417 0.7281 0.1297  1 Fe 2.62, 1 Cd 2.85
I 0.7583 0.7281 0.3703  1 Fe 2.62, 1 Cd 2.85
I 0.7583 0.2719 0.1297  1 Fe 2.62, 1 Cd 2.85
I 0.2719 0.2417 0.8703  1 Fe 2.62, 1 Cd 2.85
I 0.2719 0.7583 0.6297  1 Fe 2.62, 1 Cd 2.85
I 0.7281 0.7583 0.8703  1 Fe 2.62, 1 Cd 2.85
Cd 0.0000 0.0000 0.5000  4 I 2.85
Cd 0.0000 0.0000 0.0000  4 I 2.85
Fe 0.0000 0.5000 0.2500  4 I 2.62
Fe 0.5000 0.0000 0.7500  4 I 2.62

Results
**Formation energy from raw total energies**: -33.0 kJ/mol of atoms
**Total magnetization**: 8.0 μB per cell